[1]
Pm2VCoO6 | PBE with a Hubbard U | optimized geometry

Cell and atoms, written as extended XYZ:
```
20
Lattice="5.366 0.000 0.000 0.000 5.641 0.000 -5.352 0.000 7.649" Properties=species:S:1:pos:R:3 pbc="T T T"
Pm -0.082 0.327 1.911
Pm -2.758 2.493 5.736
Pm 2.773 3.148 1.913
Pm 0.097 5.314 5.738
V 2.683 0.000 0.000
V 0.007 2.821 3.825
Co -2.676 0.000 3.825
Co 0.000 2.821 0.000
O -4.287 1.178 7.291
O -1.611 1.643 3.466
O -3.777 3.935 7.301
O -1.101 4.527 3.477
O -2.198 0.149 5.715
O 0.478 2.671 1.890
O -0.464 2.970 5.759
O 2.212 5.492 1.934
O 1.116 1.114 4.173
O 3.792 1.706 0.348
O 1.626 3.998 4.183
O 4.302 4.463 0.358
```

Computed properties:
space group = P2_1/c, No. 14
E = -7.68 eV per atom

---

[2]
PmCoWO6 | PBE with a Hubbard U | optimized geometry

Cell and atoms, written as extended XYZ:
```
18
Lattice="5.599 0.000 0.000 -2.800 4.849 0.000 0.000 0.000 8.435" Properties=species:S:1:pos:R:3 pbc="T T T"
Pm 0.000 3.233 2.109
Pm 2.800 1.616 6.326
Co 0.000 0.000 0.000
Co 0.000 0.000 4.217
W 0.000 3.233 6.326
W 2.800 1.616 2.109
O -0.691 1.753 5.256
O -1.627 3.374 7.397
O 0.691 1.753 7.397
O -0.936 4.571 5.256
O 1.864 0.278 1.038
O 1.173 1.475 3.179
O 1.627 3.374 5.256
O 0.936 4.571 7.397
O 3.735 0.278 3.179
O 2.109 3.096 1.038
O 4.426 1.475 1.038
O 3.491 3.096 3.179
```

Computed properties:
space group = P-31c, No. 163
E = -7.12 eV per atom

---

[3]
PmZrCo2O6 | PBE with a Hubbard U | optimized geometry

Cell and atoms, written as extended XYZ:
```
10
Lattice="2.677 1.546 4.681 -2.677 1.546 4.681 0.000 -3.091 4.681" Properties=species:S:1:pos:R:3 pbc="T T T"
Pm 0.000 0.000 0.000
Zr 0.000 0.000 6.762
Co 0.000 0.000 3.735
Co 0.000 0.000 10.942
O -1.526 -0.352 5.240
O -1.093 -1.668 7.430
O 1.068 -1.145 5.240
O -0.898 1.780 7.430
O 0.458 1.498 5.240
O 1.991 -0.112 7.430
```

Computed properties:
space group = R3, No. 146
E = -7.57 eV per atom

---

[4]
Pm2ZrCoO6 | PBE with a Hubbard U | optimized geometry

Cell and atoms, written as extended XYZ:
```
20
Lattice="5.564 0.000 0.000 0.000 5.838 0.000 -5.391 0.000 8.105" Properties=species:S:1:pos:R:3 pbc="T T T"
Pm -0.078 0.364 2.000
Pm -2.774 2.555 6.052
Pm 2.946 3.283 2.053
Pm 0.251 5.475 6.105
Zr 2.782 0.000 0.000
Zr 0.086 2.919 4.053
Co -2.696 0.000 4.053
Co 0.000 2.919 0.000
O -4.311 1.149 7.631
O -1.615 1.770 3.578
O -3.707 4.103 7.563
O -1.011 4.654 3.511
O -1.976 0.284 6.102
O 0.719 2.636 2.050
O -0.547 3.203 6.056
O 2.149 5.555 2.003
O 1.184 1.184 4.595
O 3.879 1.735 0.542
O 1.788 4.068 4.527
O 4.483 4.689 0.474
```

Computed properties:
space group = P2_1/c, No. 14
E = -8.20 eV per atom

---

[5]
PrCoO3 | PBE with a Hubbard U | optimized geometry

Cell and atoms, written as extended XYZ:
```
20
Lattice="5.535 0.000 0.000 0.000 7.735 0.000 0.000 0.000 5.472" Properties=species:S:1:pos:R:3 pbc="T T T"
Pr 0.252 1.934 0.059
Pr 2.515 5.801 2.795
Pr 3.020 1.934 2.676
Pr 5.283 5.801 5.412
Co 0.000 0.000 2.736
Co 0.000 3.868 2.736
Co 2.767 0.000 0.000
Co 2.767 3.868 0.000
O 0.062 5.801 2.320
O 1.191 4.182 4.288
O 1.191 7.421 4.288
O 1.577 0.315 1.552
O 1.577 3.553 1.552
O 2.705 1.934 5.056
O 2.830 5.801 0.416
O 3.958 4.182 3.920
O 3.958 7.421 3.920
O 4.344 0.315 1.184
O 4.344 3.553 1.184
O 5.472 1.934 3.151
```

Computed properties:
space group = Pnma, No. 62
E = -7.12 eV per atom

---

[6]
PrCo2O4 | PBE with a Hubbard U | optimized geometry

Cell and atoms, written as extended XYZ:
```
14
Lattice="4.955 -3.307 0.000 4.955 3.307 0.000 -4.942 0.000 5.466" Properties=species:S:1:pos:R:3 pbc="T T T"
Pr 0.000 0.000 0.000
Pr 2.484 -1.681 2.733
Co 1.301 0.985 3.739
Co 3.668 0.985 1.726
Co -1.152 -0.651 4.418
Co 6.121 -0.651 1.047
O 3.153 2.797 1.440
O -0.586 1.257 4.115
O 1.816 2.797 4.026
O 1.510 0.704 1.810
O 5.555 1.257 1.351
O 3.459 0.704 3.656
O 3.937 -0.853 0.988
O 1.032 -0.853 4.478
```

Computed properties:
space group = C2, No. 5
E = -6.73 eV per atom